VASP calculation (PBE) on crystalline ErPuTh2Bi4 at its relaxed geometry.

a b c (Å): 7.8499 4.5639 7.9001
angles (deg): 90.00 109.60 90.00
With the nearest neighbours (Å) after each atom.
Space group P2/m (No. 10)
One atom of each set of equivalent atoms:
Er1 0.0000 0.0000 0.0000 (multiplicity 1)  6 Bi 3.17
Pu1 0.0000 0.5000 0.5000 (multiplicity 1)  6 Bi 3.20
Th1 0.5000 0.0000 0.5000 (multiplicity 1)  6 Bi 3.26-3.27
Th2 0.5000 0.5000 0.0000 (multiplicity 1)  6 Bi 3.24
Bi1 0.2413 0.5000 0.2441 (multiplicity 2)  2 Er 3.17, 1 Pu 3.20, 3 Th 3.24-3.27
Bi2 0.2433 0.0000 0.7506 (multiplicity 2)  1 Er 3.17, 2 Pu 3.20, 3 Th 3.24-3.26

Values from the calculation:
Formation energy (eV/atom): -0.5963
Total moment (μB/atom): 0.73

***

VASP calculation (PBE) on crystalline Li2PmZn6 at its relaxed geometry.

a b c (Å): 7.8375 7.8375 3.1371
angles (deg): 90.00 90.00 120.00
With the nearest neighbours (Å) after each atom.
Space group P6/mmm (No. 191)
One atom of each set of equivalent atoms:
Li1 0.3333 0.6667 0.0000 (multiplicity 2)  12 Zn 3.02, 2 Li 3.14
Pm1 0.0000 0.0000 0.0000 (multiplicity 1)  12 Zn 3.11, 2 Pm 3.14
Zn1 0.0000 0.3429 0.5000 (multiplicity 6)  3 Zn 2.46-2.69

Values from the calculation:
Formation energy (eV/atom): -0.1461
Polymorph energy (0 for the lowest one) (meV per atom): 0
Total moment (μB/atom): 0.00

***

Number 1: D(E_F) 15.770 states/eV/cell. Number 2: D(E_F) 4.835 states/eV/cell.